Computed, not measured: a relaxed structure of Y8CS4N3 at the PBE level of DFT.

Values from the calculation:
E_form (uncorrected) (meV per atom): -1730
Volume (Å³ per cell): 873

The structure in CIF format:
```
data_Y8CS4N3
_chemical_formula_sum 'Y24 C3 S12 N9'
_cell_length_a 7.3174
_cell_length_b 7.3174
_cell_length_c 18.8277
_cell_angle_alpha 90.00
_cell_angle_beta 90.00
_cell_angle_gamma 120.00
_symmetry_space_group_name_H-M 'R -3 m'
_symmetry_Int_Tables_number 166
_symmetry_space_group_name_Hall '-R 3 2"'
loop_
_atom_site_label
_atom_site_fract_x
_atom_site_fract_y
_atom_site_fract_z
Y1 0.0000 0.0000 0.2366
Y2 0.0005 0.5002 0.2372
C1 0.0000 0.0000 0.5000
S1 0.0000 0.0000 0.0000
S2 0.0000 0.5000 0.0000
N1 0.0000 0.5000 0.5000
```